1.
DFT (meta-GGA SCAN) results for ReTe2S at its PBEsol-relaxed geometry.

Values from the calculation:
- formation energy without anion corrections (eV per atom) = 0.70

```
data_ReTe2S
_cell_length_a 6.671
_cell_length_b 6.671
_cell_length_c 6.671
_cell_angle_alpha 118.97
_cell_angle_beta 118.97
_cell_angle_gamma 91.79
_symmetry_space_group_name_H-M 'P 1'
_symmetry_Int_Tables_number 1
_symmetry_space_group_name_Hall 'P 1'
loop_
_atom_site_label
_atom_site_fract_x
_atom_site_fract_y
_atom_site_fract_z
Re1 0.000 0.000 0.000
Re2 0.750 0.250 0.500
Te1 0.092 0.125 0.467
Te2 0.375 0.908 0.033
Te3 0.658 0.625 0.533
Te4 0.875 0.342 0.967
S1 0.250 0.750 0.500
S2 0.500 0.500 0.000
```

---

2.
DFT (meta-GGA SCAN) results for Nb3HRh at its PBEsol-relaxed geometry.

Values from the calculation:
- final energy (eV/atom) = -27.46

```
data_Nb3HRh
_cell_length_a 4.101
_cell_length_b 4.101
_cell_length_c 4.101
_cell_angle_alpha 90.00
_cell_angle_beta 90.00
_cell_angle_gamma 90.00
_symmetry_space_group_name_H-M 'P 1'
_symmetry_Int_Tables_number 1
_symmetry_space_group_name_Hall 'P 1'
loop_
_atom_site_label
_atom_site_fract_x
_atom_site_fract_y
_atom_site_fract_z
Nb1 0.000 0.000 0.500
Nb2 0.000 0.500 0.000
Nb3 0.500 0.000 0.000
H1 0.000 0.000 0.000
Rh1 0.500 0.500 0.500
```

---

3.
DFT (meta-GGA SCAN) results for Pr4V5Si4O22 at its PBEsol-relaxed geometry.

Values from the calculation:
- formation energy without anion corrections (eV per atom) = -3.19

```
data_Pr4V5Si4O22
_cell_length_a 7.199
_cell_length_b 7.199
_cell_length_c 11.095
_cell_angle_alpha 99.61
_cell_angle_beta 99.61
_cell_angle_gamma 45.19
_symmetry_space_group_name_H-M 'P 1'
_symmetry_Int_Tables_number 1
_symmetry_space_group_name_Hall 'P 1'
loop_
_atom_site_label
_atom_site_fract_x
_atom_site_fract_y
_atom_site_fract_z
Pr1 0.071 0.071 0.249
Pr2 0.360 0.360 0.240
Pr3 0.640 0.640 0.760
Pr4 0.929 0.929 0.751
V1 0.000 0.000 0.500
V2 0.000 0.500 0.500
V3 0.500 0.000 0.500
V4 0.500 0.500 0.000
V5 0.500 0.500 0.500
Si1 0.140 0.140 0.959
Si2 0.297 0.297 0.767
Si3 0.703 0.703 0.233
Si4 0.860 0.860 0.041
O1 0.028 0.516 0.684
O2 0.144 0.144 0.482
O3 0.169 0.693 0.086
O4 0.189 0.189 0.102
O5 0.221 0.221 0.866
O6 0.225 0.730 0.369
O7 0.270 0.775 0.631
O8 0.307 0.831 0.914
O9 0.352 0.352 0.492
O10 0.415 0.415 0.831
O11 0.484 0.972 0.316
O12 0.516 0.028 0.684
O13 0.585 0.585 0.169
O14 0.648 0.648 0.508
O15 0.693 0.169 0.086
O16 0.730 0.225 0.369
O17 0.775 0.270 0.631
O18 0.779 0.779 0.134
O19 0.811 0.811 0.898
O20 0.831 0.307 0.914
O21 0.856 0.856 0.518
O22 0.972 0.484 0.316
```

---

4.
DFT (meta-GGA SCAN) results for KSi2Pd2 at its PBEsol-relaxed geometry.

Values from the calculation:
- formation energy without anion corrections (eV per atom) = -0.40

```
data_KSi2Pd2
_cell_length_a 5.841
_cell_length_b 5.841
_cell_length_c 5.841
_cell_angle_alpha 137.11
_cell_angle_beta 137.11
_cell_angle_gamma 62.27
_symmetry_space_group_name_H-M 'P 1'
_symmetry_Int_Tables_number 1
_symmetry_space_group_name_Hall 'P 1'
loop_
_atom_site_label
_atom_site_fract_x
_atom_site_fract_y
_atom_site_fract_z
K1 0.000 0.000 0.000
Si1 0.370 0.370 0.000
Si2 0.630 0.630 0.000
Pd1 0.250 0.750 0.500
Pd2 0.750 0.250 0.500
```

---

5.
DFT (meta-GGA SCAN) results for Tl2SbAu2 at its PBEsol-relaxed geometry.

Values from the calculation:
- formation energy without anion corrections (eV per atom) = 0.01

```
data_Tl2SbAu2
_cell_length_a 7.397
_cell_length_b 7.397
_cell_length_c 4.317
_cell_angle_alpha 90.00
_cell_angle_beta 90.00
_cell_angle_gamma 90.00
_symmetry_space_group_name_H-M 'P 1'
_symmetry_Int_Tables_number 1
_symmetry_space_group_name_Hall 'P 1'
loop_
_atom_site_label
_atom_site_fract_x
_atom_site_fract_y
_atom_site_fract_z
Tl1 0.166 0.334 0.000
Tl2 0.334 0.834 0.000
Tl3 0.666 0.166 0.000
Tl4 0.834 0.666 0.000
Sb1 0.000 0.000 0.500
Sb2 0.500 0.500 0.500
Au1 0.136 0.636 0.500
Au2 0.364 0.136 0.500
Au3 0.636 0.864 0.500
Au4 0.864 0.364 0.500
```

---

6.
DFT (meta-GGA SCAN) results for Si2HgMo at its PBEsol-relaxed geometry.

Values from the calculation:
- formation energy without anion corrections (eV per atom) = 0.51

```
data_Si2HgMo
_cell_length_a 4.323
_cell_length_b 4.323
_cell_length_c 3.296
_cell_angle_alpha 90.00
_cell_angle_beta 90.00
_cell_angle_gamma 90.00
_symmetry_space_group_name_H-M 'P 1'
_symmetry_Int_Tables_number 1
_symmetry_space_group_name_Hall 'P 1'
loop_
_atom_site_label
_atom_site_fract_x
_atom_site_fract_y
_atom_site_fract_z
Si1 0.000 0.500 0.000
Si2 0.500 0.000 0.000
Hg1 0.000 0.000 0.500
Mo1 0.500 0.500 0.500
```

---

7.
DFT (meta-GGA SCAN) results for Sr7CaTi8O24 at its PBEsol-relaxed geometry.

Values from the calculation:
- formation energy without anion corrections (eV per atom) = -3.46

```
data_Sr7CaTi8O24
_cell_length_a 7.784
_cell_length_b 7.784
_cell_length_c 7.784
_cell_angle_alpha 90.00
_cell_angle_beta 90.00
_cell_angle_gamma 90.00
_symmetry_space_group_name_H-M 'P 1'
_symmetry_Int_Tables_number 1
_symmetry_space_group_name_Hall 'P 1'
loop_
_atom_site_label
_atom_site_fract_x
_atom_site_fract_y
_atom_site_fract_z
Sr1 0.000 0.000 0.000
Sr2 0.000 0.000 0.500
Sr3 0.000 0.500 0.000
Sr4 0.000 0.500 0.500
Sr5 0.500 0.000 0.000
Sr6 0.500 0.000 0.500
Sr7 0.500 0.500 0.000
Ca1 0.500 0.500 0.500
Ti1 0.251 0.251 0.251
Ti2 0.251 0.251 0.749
Ti3 0.251 0.749 0.251
Ti4 0.251 0.749 0.749
Ti5 0.749 0.251 0.251
Ti6 0.749 0.251 0.749
Ti7 0.749 0.749 0.251
Ti8 0.749 0.749 0.749
O1 0.000 0.251 0.251
O2 0.000 0.251 0.749
O3 0.000 0.749 0.251
O4 0.000 0.749 0.749
O5 0.251 0.000 0.251
O6 0.251 0.000 0.749
O7 0.251 0.251 0.000
O8 0.251 0.749 0.000
O9 0.252 0.252 0.500
O10 0.252 0.500 0.252
O11 0.252 0.500 0.748
O12 0.252 0.748 0.500
O13 0.500 0.252 0.252
O14 0.500 0.252 0.748
O15 0.500 0.748 0.252
O16 0.500 0.748 0.748
O17 0.748 0.252 0.500
O18 0.748 0.500 0.252
O19 0.748 0.500 0.748
O20 0.748 0.748 0.500
O21 0.749 0.000 0.251
O22 0.749 0.000 0.749
O23 0.749 0.251 0.000
O24 0.749 0.749 0.000
```

---

8.
DFT (meta-GGA SCAN) results for Ag3AsAu at its PBEsol-relaxed geometry.

Values from the calculation:
- excess energy over the best structure of this formula in the dataset (eV/atom) = 0.412
- formation enthalpy at 0 K (eV per atom) = 0.8621

```
data_Ag3AsAu
_cell_length_a 4.968
_cell_length_b 4.968
_cell_length_c 4.968
_cell_angle_alpha 90.00
_cell_angle_beta 90.00
_cell_angle_gamma 90.00
_symmetry_space_group_name_H-M 'P 1'
_symmetry_Int_Tables_number 1
_symmetry_space_group_name_Hall 'P 1'
loop_
_atom_site_label
_atom_site_fract_x
_atom_site_fract_y
_atom_site_fract_z
Ag1 0.000 0.000 0.500
Ag2 0.000 0.500 0.000
Ag3 0.500 0.000 0.000
As1 0.500 0.500 0.500
Au1 0.000 0.000 0.000
```

---

no.,D(E_F) (states/eV per cell)
1,7.02
2,5.17
3,5.67
4,2.16
5,4.26
6,2.31
7,0.00
8,2.38